# Na2YAu2 | Alexandria | PBE | relaxed
# Offset from the most stable computed form in eV/atom: 0.1499
# Energy of formation in eV per formula unit: -1.24
data_Na2YAu2
_cell_length_a 8.181
_cell_length_b 8.181
_cell_length_c 3.321
_cell_angle_alpha 90.00
_cell_angle_beta 90.00
_cell_angle_gamma 90.00
_space_group_name_H-M_alt 'P 4/m b m'
_space_group_IT_number 127
_space_group_name_Hall '-P 4 2ab'
loop_
_atom_site_label
_atom_site_fract_x
_atom_site_fract_y
_atom_site_fract_z
Na1 0.112 0.388 0.000
Y1 0.000 0.000 0.000
Au1 0.191 0.691 0.500